# 1
Compound: TlVAs2Se
Source: the Alexandria database
Functional: GGA-PBE
Structure: relaxed

E_form (uncorrected) (meV per atom): 11
Mass density (g/cm3): 6.9
Crystal system: tetragonal
Energy above the lowest structure with this stoichiometry (eV per atom): 0.000
Volume (Å³/cell): 115.9
Symmetry: P4/mmm

Lattice parameters (Å, degrees): 4.876 4.876 4.876 90.00 90.00 90.00
Positions (direct):
Tl 0.000 0.000 0.000
V 0.500 0.500 0.500
As 0.000 0.500 0.500
As 0.500 0.000 0.500
Se 0.500 0.500 0.000


# 2
Compound: SbN
Source: the Alexandria database
Functional: GGA-PBE
Structure: relaxed

E_form (uncorrected) (meV per atom): 368
Mass density (g/cm3): 6.1
Crystal system: orthorhombic
Energy above the lowest structure with this stoichiometry (eV per atom): 0.023
Volume (Å³/cell): 74.5
Symmetry: Pmmn

Lattice parameters (Å, degrees): 3.543 4.183 5.028 90.00 90.00 90.00
Positions (direct):
Sb 0.250 0.250 0.208
Sb 0.750 0.750 0.792
N 0.250 0.750 0.037
N 0.750 0.250 0.963


# 3
Compound: TmMo2
Source: the Alexandria database
Functional: GGA-PBE
Structure: relaxed

Mass density (g/cm3): 10.5
ΔE_f (eV per formula unit): 0.330
Crystal system: tetragonal
Volume (Å³/cell): 57.3
Symmetry: I4/mmm

Lattice parameters (Å, degrees): 5.835 5.835 5.835 147.44 147.44 46.71
Positions (direct):
Tm 0.000 0.000 0.000
Mo 0.311 0.311 0.000
Mo 0.689 0.689 0.000


# 4
Compound: BaBi2CSe
Source: the Alexandria database
Functional: GGA-PBE
Structure: relaxed

E_form (uncorrected) (meV per atom): 442
Mass density (g/cm3): 7.6
Crystal system: tetragonal
Volume (Å³/cell): 141.7
Symmetry: P4/mmm

Lattice parameters (Å, degrees): 4.957 4.957 5.766 90.00 90.00 90.00
Positions (direct):
Ba 0.000 0.000 0.000
Bi 0.000 0.500 0.500
Bi 0.500 0.000 0.500
C 0.500 0.500 0.500
Se 0.500 0.500 0.000


# 5
Compound: Ce4AsCCl2
Source: the Alexandria database
Functional: GGA-PBE
Structure: relaxed

E_form (uncorrected) (meV per atom): -1180
Mass density (g/cm3): 6.4
Crystal system: monoclinic
Volume (Å³/cell): 186.3
Symmetry: P2/m

Lattice parameters (Å, degrees): 7.057 3.930 7.074 90.00 108.26 90.00
Positions (direct):
Ce 0.210 0.000 0.207
Ce 0.228 0.500 0.777
Ce 0.772 0.500 0.223
Ce 0.790 0.000 0.793
As 0.000 0.000 0.500
C 0.000 0.500 0.000
Cl 0.500 0.000 0.000
Cl 0.500 0.500 0.500


# 6
Compound: In4CuNi
Source: the Alexandria database
Functional: GGA-PBE
Structure: relaxed

Mass density (g/cm3): 8.1
ΔE_f (eV per formula unit): -0.165
Crystal system: tetragonal
Energy above the lowest structure with this stoichiometry (eV per atom): 0.000
Volume (Å³/cell): 239.8
Symmetry: I4/mcm

Lattice parameters (Å, degrees): 7.247 7.247 7.247 126.14 126.14 79.66
Positions (direct):
In 0.034 0.534 0.835
In 0.200 0.034 0.500
In 0.300 0.800 0.835
In 0.466 0.300 0.500
In 0.534 0.700 0.500
In 0.700 0.200 0.165
In 0.800 0.966 0.500
In 0.966 0.466 0.165
Cu 0.000 0.000 0.000
Cu 0.500 0.500 0.000
Ni 0.250 0.250 0.000
Ni 0.750 0.750 0.000


# 7
Compound: AlReSi4
Source: the Alexandria database
Functional: GGA-PBE
Structure: relaxed

E_form (uncorrected) (meV per atom): 559
Mass density (g/cm3): 6.5
Crystal system: cubic
Volume (Å³/cell): 83.8
Symmetry: F-43m

Lattice parameters (Å, degrees): 4.911 4.911 4.911 60.00 60.00 60.00
Positions (direct):
Al 0.000 0.000 0.000
Re 0.250 0.250 0.250
Si 0.125 0.625 0.625
Si 0.625 0.125 0.625
Si 0.625 0.625 0.125
Si 0.625 0.625 0.625


# 8
Compound: TlMoRh2
Source: the Alexandria database
Functional: GGA-PBE
Structure: relaxed

Mass density (g/cm3): 12.6
ΔE_f (eV per formula unit): 1.346
Crystal system: tetragonal
Energy above the lowest structure with this stoichiometry (eV per atom): 0.342
Volume (Å³/cell): 66.6
Symmetry: P4/mmm

Lattice parameters (Å, degrees): 4.200 4.200 3.774 90.00 90.00 90.00
Positions (direct):
Tl 0.000 0.000 0.000
Mo 0.500 0.500 0.000
Rh 0.000 0.500 0.500
Rh 0.500 0.000 0.500


# 9
Compound: LaPr5Th2
Source: the Alexandria database
Functional: GGA-PBE
Structure: relaxed

Mass density (g/cm3): 7.6
ΔE_f (eV per formula unit): 0.824
Crystal system: orthorhombic
Volume (Å³/cell): 285.3
Symmetry: Immm

Lattice parameters (Å, degrees): 9.129 9.129 9.129 157.17 101.49 83.06
Positions (direct):
La 0.000 0.000 0.000
Pr 0.136 0.369 0.768
Pr 0.399 0.631 0.768
Pr 0.500 0.000 0.500
Pr 0.601 0.369 0.232
Pr 0.864 0.631 0.232
Th 0.240 0.740 0.500
Th 0.760 0.260 0.500


# 10
Compound: CaB2AuO
Source: the Alexandria database
Functional: GGA-PBE
Structure: relaxed

E_form (uncorrected) (meV per atom): 604
Mass density (g/cm3): 6.5
Crystal system: tetragonal
Volume (Å³/cell): 69.7
Symmetry: P4/mmm

Lattice parameters (Å, degrees): 4.026 4.026 4.297 90.00 90.00 90.00
Positions (direct):
Ca 0.000 0.000 0.000
B 0.000 0.500 0.500
B 0.500 0.000 0.500
Au 0.500 0.500 0.000
O 0.000 0.000 0.500


# 11
Compound: LaNd2Ho4
Source: the Alexandria database
Functional: GGA-PBE
Structure: relaxed

Mass density (g/cm3): 7.3
ΔE_f (eV per formula unit): 2.265
Crystal system: triclinic
Energy above the lowest structure with this stoichiometry (eV per atom): 0.309
Volume (Å³/cell): 497.3
Symmetry: P-1

Lattice parameters (Å, degrees): 7.808 7.817 8.148 90.15 90.12 90.00
Positions (direct):
La 0.000 0.000 0.000
La 0.000 0.000 0.500
Nd 0.000 0.500 0.000
Nd 0.500 0.000 0.000
Nd 0.500 0.500 0.000
Nd 0.500 0.500 0.500
Ho 0.250 0.746 0.721
Ho 0.251 0.252 0.721
Ho 0.251 0.253 0.279
Ho 0.252 0.749 0.279
Ho 0.748 0.251 0.721
Ho 0.749 0.747 0.721
Ho 0.749 0.748 0.279
Ho 0.750 0.254 0.279


# 12
Compound: Tb2NdGa3
Source: the Alexandria database
Functional: GGA-PBE
Structure: relaxed

Mass density (g/cm3): 7.8
ΔE_f (eV per formula unit): -3.465
Crystal system: tetragonal
Energy above the lowest structure with this stoichiometry (eV per atom): 0.000
Volume (Å³/cell): 142.8
Symmetry: P4/mmm

Lattice parameters (Å, degrees): 3.611 3.611 10.953 90.00 90.00 90.00
Positions (direct):
Tb 0.000 0.000 0.163
Tb 0.000 0.000 0.837
Nd 0.000 0.000 0.500
Ga 0.500 0.500 0.000
Ga 0.500 0.500 0.323
Ga 0.500 0.500 0.677


# 13
Compound: Ba6SrCd5
Source: the Alexandria database
Functional: GGA-PBE
Structure: relaxed

Mass density (g/cm3): 5.0
ΔE_f (eV per formula unit): -2.901
Crystal system: orthorhombic
Volume (Å³/cell): 491.4
Symmetry: Immm

Lattice parameters (Å, degrees): 10.570 10.570 10.570 146.43 130.53 61.11
Positions (direct):
Ba 0.059 0.324 0.735
Ba 0.221 0.000 0.221
Ba 0.411 0.676 0.735
Ba 0.589 0.324 0.265
Ba 0.779 0.000 0.779
Ba 0.941 0.676 0.265
Sr 0.500 0.500 0.000
Cd 0.000 0.500 0.500
Cd 0.169 0.169 0.000
Cd 0.352 0.852 0.500
Cd 0.648 0.148 0.500
Cd 0.831 0.831 0.000


# 14
Compound: Ca5AcZn4
Source: the Alexandria database
Functional: GGA-PBE
Structure: relaxed

Mass density (g/cm3): 4.0
ΔE_f (eV per formula unit): -1.641
Crystal system: tetragonal
Volume (Å³/cell): 284.7
Symmetry: P4/mmm

Lattice parameters (Å, degrees): 3.722 3.722 20.548 90.00 90.00 90.00
Positions (direct):
Ca 0.000 0.000 0.000
Ca 0.000 0.000 0.177
Ca 0.000 0.000 0.352
Ca 0.000 0.000 0.648
Ca 0.000 0.000 0.823
Ac 0.500 0.500 0.500
Zn 0.500 0.500 0.087
Zn 0.500 0.500 0.266
Zn 0.500 0.500 0.734
Zn 0.500 0.500 0.913


# 15
Compound: NbCo2SnH
Source: the Alexandria database
Functional: GGA-PBE
Structure: relaxed

Mass density (g/cm3): 8.7
Crystal system: tetragonal
Volume (Å³/cell): 62.8
Symmetry: P4/mmm
Uncorrected energy (eV per formula unit): -31.71

Lattice parameters (Å, degrees): 4.024 4.024 3.880 90.00 90.00 90.00
Positions (direct):
Nb 0.000 0.000 0.000
Co 0.000 0.500 0.500
Co 0.500 0.000 0.500
Sn 0.500 0.500 0.000
H 0.000 0.000 0.500


# 16
Compound: RbMn2Br
Source: the Alexandria database
Functional: GGA-PBE
Structure: relaxed

E_form (uncorrected) (meV per atom): 976
Mass density (g/cm3): 3.5
Crystal system: cubic
Energy above the lowest structure with this stoichiometry (eV per atom): 0.433
Volume (Å³/cell): 131.8
Symmetry: Fm-3m

Lattice parameters (Å, degrees): 5.712 5.712 5.712 60.00 60.00 60.00
Positions (direct):
Rb 0.000 0.000 0.000
Mn 0.250 0.250 0.250
Mn 0.750 0.750 0.750
Br 0.500 0.500 0.500


# 17
Compound: Li2PrPb2
Source: the Alexandria database
Functional: GGA-PBE
Structure: relaxed

Mass density (g/cm3): 7.8
ΔE_f (eV per formula unit): -1.994
Crystal system: tetragonal
Energy above the lowest structure with this stoichiometry (eV per atom): 0.000
Volume (Å³/cell): 241.5
Symmetry: P4/nmm

Lattice parameters (Å, degrees): 4.694 4.694 10.958 90.00 90.00 90.00
Positions (direct):
Li 0.250 0.250 0.137
Li 0.250 0.750 0.500
Li 0.750 0.250 0.500
Li 0.750 0.750 0.863
Pr 0.250 0.250 0.742
Pr 0.750 0.750 0.258
Pb 0.250 0.250 0.373
Pb 0.250 0.750 0.000
Pb 0.750 0.250 0.000
Pb 0.750 0.750 0.627


# 18
Compound: La2BeP3Rh12
Source: the Alexandria database
Functional: GGA-PBE
Structure: relaxed

Mass density (g/cm3): 8.5
ΔE_f (eV per formula unit): -5.316
Crystal system: trigonal
Volume (Å³/cell): 316.8
Symmetry: R-3m

Lattice parameters (Å, degrees): 7.120 7.120 7.120 71.88 71.88 71.88
Positions (direct):
La 0.111 0.111 0.111
La 0.889 0.889 0.889
Be 0.500 0.500 0.500
P 0.000 0.500 0.500
P 0.500 0.000 0.500
P 0.500 0.500 0.000
Rh 0.151 0.635 0.635
Rh 0.167 0.167 0.589
Rh 0.167 0.589 0.167
Rh 0.365 0.365 0.849
Rh 0.365 0.849 0.365
Rh 0.411 0.833 0.833
Rh 0.589 0.167 0.167
Rh 0.635 0.151 0.635
Rh 0.635 0.635 0.151
Rh 0.833 0.411 0.833
Rh 0.833 0.833 0.411
Rh 0.849 0.365 0.365


# 19
Compound: NiOsSeN2
Source: the Alexandria database
Functional: GGA-PBE
Structure: relaxed

E_form (uncorrected) (meV per atom): 756
Mass density (g/cm3): 7.7
Crystal system: tetragonal
Energy above the lowest structure with this stoichiometry (eV per atom): 0.000
Volume (Å³/cell): 77.2
Symmetry: P4/mmm

Lattice parameters (Å, degrees): 3.729 3.729 5.554 90.00 90.00 90.00
Positions (direct):
Ni 0.000 0.000 0.000
Os 0.500 0.500 0.500
Se 0.500 0.500 0.000
N 0.000 0.500 0.500
N 0.500 0.000 0.500


# 20
Compound: Th2ScCd4
Source: the Alexandria database
Functional: GGA-PBE
Structure: relaxed

Mass density (g/cm3): 8.3
ΔE_f (eV per formula unit): -0.133
Crystal system: tetragonal
Volume (Å³/cell): 191.3
Symmetry: I4/mmm

Lattice parameters (Å, degrees): 8.437 8.437 8.437 145.55 145.55 49.51
Positions (direct):
Th 0.246 0.246 0.000
Th 0.754 0.754 0.000
Sc 0.500 0.500 0.000
Cd 0.101 0.601 0.500
Cd 0.399 0.899 0.500
Cd 0.601 0.101 0.500
Cd 0.899 0.399 0.500


# 21
Compound: La2InI
Source: the Alexandria database
Functional: GGA-PBE
Structure: relaxed

E_form (uncorrected) (meV per atom): -621
Mass density (g/cm3): 6.7
Crystal system: cubic
Energy above the lowest structure with this stoichiometry (eV per atom): 0.127
Volume (Å³/cell): 128.2
Symmetry: Fm-3m

Lattice parameters (Å, degrees): 5.660 5.660 5.660 60.00 60.00 60.00
Positions (direct):
La 0.250 0.250 0.250
La 0.750 0.750 0.750
In 0.000 0.000 0.000
I 0.500 0.500 0.500


# 22
Compound: TcNiH
Source: the Alexandria database
Functional: GGA-PBE
Structure: relaxed

Mass density (g/cm3): 8.6
Crystal system: orthorhombic
Energy above the lowest structure with this stoichiometry (eV per atom): 0.161
Volume (Å³/cell): 60.9
Symmetry: Cmcm

Lattice parameters (Å, degrees): 8.099 8.099 2.750 90.00 90.00 160.28
Positions (direct):
Tc 0.196 0.804 0.750
Tc 0.804 0.196 0.250
Ni 0.436 0.564 0.750
Ni 0.564 0.436 0.250
H 0.116 0.884 0.250
H 0.884 0.116 0.750


# 23
Compound: Pr8Y2Tm
Source: the Alexandria database
Functional: GGA-PBE
Structure: relaxed

Mass density (g/cm3): 6.3
ΔE_f (eV per formula unit): 1.499
Crystal system: monoclinic
Energy above the lowest structure with this stoichiometry (eV per atom): 0.000
Volume (Å³/cell): 390.1
Symmetry: C2/m

Lattice parameters (Å, degrees): 9.574 9.574 6.036 105.44 105.44 122.29
Positions (direct):
Pr 0.098 0.334 0.681
Pr 0.205 0.795 0.000
Pr 0.334 0.098 0.681
Pr 0.421 0.421 0.203
Pr 0.579 0.579 0.797
Pr 0.666 0.902 0.319
Pr 0.795 0.205 0.000
Pr 0.902 0.666 0.319
Y 0.310 0.690 0.500
Y 0.690 0.310 0.500
Tm 0.000 0.000 0.000


# 24
Compound: TmCdP2Rh5
Source: the Alexandria database
Functional: GGA-PBE
Structure: relaxed

Mass density (g/cm3): 10.0
ΔE_f (eV per formula unit): -6.158
Crystal system: tetragonal
Volume (Å³/cell): 142.8
Symmetry: P4/mmm

Lattice parameters (Å, degrees): 4.127 4.127 8.384 90.00 90.00 90.00
Positions (direct):
Tm 0.000 0.000 0.000
Cd 0.000 0.000 0.500
P 0.500 0.500 0.364
P 0.500 0.500 0.636
Rh 0.000 0.500 0.247
Rh 0.000 0.500 0.753
Rh 0.500 0.000 0.247
Rh 0.500 0.000 0.753
Rh 0.500 0.500 0.000


What did we get for total moment? Answer: 0.000; 0.000; 0.000; 0.000; 2.963; 0.000; 0.000; 2.317; 0.000; 0.000; 0.656; 0.000; 0.000; 0.000; 2.968; 9.996; 0.000; 0.000; 1.067; 0.000; 0.000; 0.000; 0.000; 0.000 μB/f.u., in the order shown.